Crystalline Ca2Ru2W at its relaxed geometry, computed with PBE-GGA.

Energy relative to the elements, eV per atom: 1.0626
Space-group type: P4/mbm (127)
Distance to the lowest polymorph of the same formula, meV per atom: 846

```
10
Lattice="8.1607 0.0000 0.0000 0.0000 8.1607 0.0000 0.0000 0.0000 2.8127" Properties=species:S:1:pos:R:3 pbc="T T T"
Ca 0.9869 3.0934 0.0000
Ca 3.0934 7.1738 0.0000
Ca 5.0673 0.9869 0.0000
Ca 7.1738 5.0673 0.0000
Ru 1.5217 5.6021 1.4064
Ru 2.5586 1.5217 1.4064
Ru 5.6021 6.6390 1.4064
Ru 6.6390 2.5586 1.4064
W 0.0000 0.0000 0.0000
W 4.0804 4.0804 0.0000
```

Crystalline CaRuW at its relaxed geometry, computed with PBE-GGA.

Energy relative to the elements, eV per atom: 0.4381
Space-group type: Imm2 (44)
Distance to the lowest polymorph of the same formula, meV per atom: 0

```
3
Lattice="-1.5518 1.8570 5.5773 1.5518 -1.8570 5.5773 1.5518 1.8570 -5.5773" Properties=species:S:1:pos:R:3 pbc="T T T"
Ca 0.0000 0.0000 0.0000
Ru 0.0000 0.0000 7.9875
W 0.0000 0.0000 3.1311
```

Crystalline CaRu2W at its relaxed geometry, computed with PBE-GGA.

Energy relative to the elements, eV per atom: 0.4777
Space-group type: Immm (71)
Distance to the lowest polymorph of the same formula, meV per atom: 380

```
4
Lattice="-1.6915 2.5136 4.1568 1.6915 -2.5136 4.1568 1.6915 2.5136 -4.1568" Properties=species:S:1:pos:R:3 pbc="T T T"
Ca 0.0000 0.0000 0.0000
Ru 1.6915 0.0000 2.3112
Ru 0.0000 2.5136 1.8456
W 0.0000 0.0000 4.1568
```

Crystalline Ca2Ru2W at its relaxed geometry, computed with PBE-GGA.

Energy relative to the elements, eV per atom: 0.2165
Space-group type: P4/mbm (127)
Distance to the lowest polymorph of the same formula, meV per atom: 0

```
10
Lattice="6.4850 0.0000 0.0000 0.0000 6.4850 0.0000 0.0000 0.0000 4.9513" Properties=species:S:1:pos:R:3 pbc="T T T"
Ca 1.1568 2.0857 0.0000
Ca 2.0857 5.3283 0.0000
Ca 4.3993 1.1568 0.0000
Ca 5.3283 4.3993 0.0000
Ru 0.8756 4.1181 2.4757
Ru 2.3669 0.8756 2.4757
Ru 4.1181 5.6094 2.4757
Ru 5.6094 2.3669 2.4757
W 0.0000 0.0000 2.4757
W 3.2425 3.2425 2.4757
```